The following is a DFT calculation (PBE with a Hubbard U) of a relaxed structure of Ti3FeF.

a = 4.1058 Å, b = 4.1058 Å, c = 4.1058 Å
α = 90.00°, β = 90.00°, γ = 90.00°
Last column: nearest neighbours and their distance in Å.
Positions (direct):
Ti 0.0000 0.0000 0.5000  2 F 2.05
Ti 0.0000 0.5000 0.0000  2 F 2.05
Ti 0.5000 0.0000 0.0000  2 F 2.05
Fe 0.5000 0.5000 0.5000  12 Ti 2.90
F 0.0000 0.0000 0.0000  6 Ti 2.05

Values from the calculation:
SG: Pm-3m
VASP energy in Ha/atom: -0.219
Offset from the most stable computed form in eV per formula unit: 0.00